Here is an optimized crystal structure of HoMgSn from Alexandria via LeMat-Bulk. Energies are from PBE.

a = 4.9234 Å, b = 4.9234 Å, c = 3.5237 Å
α = 90.00°, β = 90.00°, γ = 120.00°
Space group P-6m2 (No. 187)
Symmetry-distinct sites (fractional):
Ho1 0.0000 0.0000 0.0000 (multiplicity 1)
Mg1 0.3333 0.6667 0.5000 (multiplicity 1)
Sn1 0.6667 0.3333 0.5000 (multiplicity 1)

Results
crystal system: hexagonal
uncorrected energy: -11.51 eV for the cell shown
DFT formation energy: -0.444 eV per atom
total moment: 0.0 μB per cell